Entry 1:
! CeCuPb2S5 | Alexandria | PBE | optimized geometry; values from VASP
! Fermi-level density of states (states/eV/f.u.): 6.1
! Formation energy from raw total energies (eV per atom): -0.803
! Magnetic moment (μB/atom): 0.00
&SYSTEM
  ibrav = 0, nat = 18, ntyp = 4
/
ATOMIC_SPECIES
Ce 140.12 Ce.upf
Cu 63.55 Cu.upf
Pb 207.20 Pb.upf
S 32.06 S.upf
CELL_PARAMETERS angstrom
3.986 0.000 0.000
-1.993 8.783 0.000
0.000 0.000 12.371
ATOMIC_POSITIONS crystal
Ce 0.804 0.607 0.527
Ce 0.196 0.393 0.027
Cu 0.558 0.117 0.935
Cu 0.442 0.883 0.435
Pb 0.878 0.756 0.832
Pb 0.098 0.196 0.667
Pb 0.122 0.244 0.332
Pb 0.902 0.804 0.167
S 0.353 0.705 0.010
S 0.688 0.375 0.880
S 0.496 0.993 0.775
S 0.295 0.590 0.676
S 0.962 0.925 0.522
S 0.647 0.295 0.510
S 0.312 0.625 0.380
S 0.504 0.007 0.275
S 0.705 0.410 0.176
S 0.038 0.075 0.022


Entry 2:
! BaCa2Al | Alexandria | PBE | optimized geometry; values from VASP
! VASP energy (Ry/atom): -0.1769
! Fermi-level density of states (states/eV/f.u.): 3.7
! Magnetic moment (μB/atom): 0.00
&SYSTEM
  ibrav = 0, nat = 4, ntyp = 3
/
ATOMIC_SPECIES
Ca 40.08 Ca.upf
Ba 137.33 Ba.upf
Al 26.98 Al.upf
CELL_PARAMETERS angstrom
-3.460 -3.098 -3.601
1.235 -4.893 3.012
-2.130 4.713 2.791
ATOMIC_POSITIONS crystal
Ca 0.000 0.000 0.000
Ca 0.250 0.750 0.500
Ba 0.750 0.250 0.500
Al 0.500 0.500 0.000


Entry 3:
! ZrReBr2 | Alexandria | PBE | optimized geometry; values from VASP
! Fermi-level density of states (states/eV/f.u.): 2.7
! Formation energy from raw total energies (eV per atom): 0.734
! Magnetic moment (μB/atom): 0.36
! Excess energy over the best structure of this formula in the dataset (meV per atom): 967
&SYSTEM
  ibrav = 0, nat = 4, ntyp = 3
/
ATOMIC_SPECIES
Re 186.21 Re.upf
Br 79.90 Br.upf
Zr 91.22 Zr.upf
CELL_PARAMETERS angstrom
-1.099 1.684 -2.337
1.011 -2.117 -2.001
-9.010 -4.942 0.677
ATOMIC_POSITIONS crystal
Re 0.500 0.500 0.250
Br 0.000 0.000 0.921
Br 0.000 0.000 0.579
Zr 0.500 0.500 0.750


Entry 4:
! DyTl3I6 | Alexandria | PBE | optimized geometry; values from VASP
! Fermi-level density of states (states/eV/f.u.): 0.0
! Formation energy from raw total energies (eV per atom): -0.955
! Magnetic moment (μB/atom): 0.00
&SYSTEM
  ibrav = 0, nat = 20, ntyp = 3
/
ATOMIC_SPECIES
Dy 162.50 Dy.upf
Tl 204.38 Tl.upf
I 126.90 I.upf
CELL_PARAMETERS angstrom
-6.128 4.580 -3.019
0.420 -4.622 -7.862
-8.602 -7.404 3.893
ATOMIC_POSITIONS crystal
Dy 0.500 0.500 0.500
Dy 0.000 0.000 0.000
Tl 0.537 0.906 0.771
Tl 0.500 0.500 0.000
Tl 0.463 0.094 0.229
Tl 0.037 0.594 0.271
Tl 0.000 0.000 0.500
Tl 0.963 0.406 0.729
I 0.695 0.168 0.949
I 0.655 0.218 0.579
I 0.647 0.441 0.264
I 0.353 0.559 0.736
I 0.345 0.782 0.421
I 0.305 0.832 0.051
I 0.195 0.332 0.449
I 0.155 0.282 0.079
I 0.147 0.059 0.764
I 0.853 0.941 0.236
I 0.845 0.718 0.921
I 0.805 0.668 0.551


Which formula does entry 1 have? CeCuPb2S5


Copy entry 1 word for word.
! CeCuPb2S5 | Alexandria | PBE | optimized geometry; values from VASP
! Fermi-level density of states (states/eV/f.u.): 6.1
! Formation energy from raw total energies (eV per atom): -0.803
! Magnetic moment (μB/atom): 0.00
&SYSTEM
  ibrav = 0, nat = 18, ntyp = 4
/
ATOMIC_SPECIES
Ce 140.12 Ce.upf
Cu 63.55 Cu.upf
Pb 207.20 Pb.upf
S 32.06 S.upf
CELL_PARAMETERS angstrom
3.986 0.000 0.000
-1.993 8.783 0.000
0.000 0.000 12.371
ATOMIC_POSITIONS crystal
Ce 0.804 0.607 0.527
Ce 0.196 0.393 0.027
Cu 0.558 0.117 0.935
Cu 0.442 0.883 0.435
Pb 0.878 0.756 0.832
Pb 0.098 0.196 0.667
Pb 0.122 0.244 0.332
Pb 0.902 0.804 0.167
S 0.353 0.705 0.010
S 0.688 0.375 0.880
S 0.496 0.993 0.775
S 0.295 0.590 0.676
S 0.962 0.925 0.522
S 0.647 0.295 0.510
S 0.312 0.625 0.380
S 0.504 0.007 0.275
S 0.705 0.410 0.176
S 0.038 0.075 0.022


The lowest Fermi-level density of states belongs to which entry? DyTl3I6